# 1
RbTa2Tl2 | PBE-GGA | optimized geometry

Cell and atoms, written as POSCAR:
```
RbTa2Tl2
1.0
5.593 0.000 0.000
0.000 5.593 0.000
0.000 0.000 9.196
Rb Ta Tl
2 4 4
Direct
0.000 0.000 0.000
0.500 0.500 0.500
0.000 0.000 0.362
0.000 0.000 0.638
0.500 0.500 0.138
0.500 0.500 0.862
0.000 0.500 0.250
0.000 0.500 0.750
0.500 0.000 0.250
0.500 0.000 0.750
```

## Properties
ΔE_f: 5.62 eV per formula unit
DOS at the Fermi energy: 11.96 states/eV per cell
Space group: I4/mmm, No. 139
Total magnetization: 4.50 Bohr magnetons per cell
ΔE to the lowest computed polymorph: 445.3 meV/atom
Calculated total energy: -4.76 eV per atom

***

# 2
LaDyThMg | PBE-GGA | optimized geometry

Cell and atoms, written as POSCAR:
```
LaDyThMg
1.0
7.938 0.000 0.000
0.000 7.938 0.000
0.000 0.000 7.938
La Dy Th Mg
4 4 4 4
Direct
0.000 0.000 0.000
0.000 0.500 0.500
0.500 0.000 0.500
0.500 0.500 0.000
0.000 0.000 0.500
0.000 0.500 0.000
0.500 0.000 0.000
0.500 0.500 0.500
0.250 0.250 0.250
0.250 0.750 0.750
0.750 0.250 0.750
0.750 0.750 0.250
0.250 0.250 0.750
0.250 0.750 0.250
0.750 0.250 0.250
0.750 0.750 0.750
```

## Properties
ΔE_f: 0.60 eV per formula unit
DOS at the Fermi energy: 29.27 states/eV per cell
Space group: F-43m, No. 216
Total magnetization: 0.00 Bohr magnetons per cell
ΔE to the lowest computed polymorph: 200.4 meV/atom
Calculated total energy: -4.49 eV per atom

***

# 3
Ac2SiPdO6 | PBE-GGA | optimized geometry

Cell and atoms, written as POSCAR:
```
Ac2SiPdO6
1.0
5.555 0.000 0.000
0.000 5.555 0.000
0.000 0.000 4.354
Ac Si Pd O
2 1 1 6
Direct
0.000 0.500 0.000
0.500 0.000 0.000
0.000 0.000 0.523
0.500 0.500 0.546
0.000 0.000 0.140
0.219 0.219 0.616
0.219 0.781 0.616
0.500 0.500 0.052
0.781 0.219 0.616
0.781 0.781 0.616
```

## Properties
DOS at the Fermi energy: 2.25 states/eV per cell
E_form (uncorrected): -2.469 eV per atom
Space group: P4mm, No. 99
Total magnetization: 0.90 Bohr magnetons per cell
Calculated total energy: -7.33 eV per atom

***

# 4
EuTmCdPb | PBE-GGA | optimized geometry

Cell and atoms, written as POSCAR:
```
EuTmCdPb
1.0
7.691 0.000 0.000
0.000 7.691 0.000
0.000 0.000 7.691
Eu Tm Cd Pb
4 4 4 4
Direct
0.000 0.000 0.000
0.000 0.500 0.500
0.500 0.000 0.500
0.500 0.500 0.000
0.000 0.000 0.500
0.000 0.500 0.000
0.500 0.000 0.000
0.500 0.500 0.500
0.250 0.250 0.750
0.250 0.750 0.250
0.750 0.250 0.250
0.750 0.750 0.750
0.250 0.250 0.250
0.250 0.750 0.750
0.750 0.250 0.750
0.750 0.750 0.250
```

## Properties
ΔE_f: -1.54 eV per formula unit
DOS at the Fermi energy: 11.75 states/eV per cell
Space group: F-43m, No. 216
Total magnetization: 30.19 Bohr magnetons per cell
Calculated total energy: -5.23 eV per atom

***

# 5
Hg2OsBr | PBE-GGA | optimized geometry

Cell and atoms, written as POSCAR:
```
Hg2OsBr
1.0
2.729 0.000 0.000
0.000 4.857 0.000
0.000 0.000 8.479
Hg Os Br
2 1 1
Direct
0.000 0.000 0.000
0.500 0.500 0.348
0.000 0.000 0.318
0.500 0.500 0.758
```

## Properties
DOS at the Fermi energy: 2.43 states/eV per cell
E_form (uncorrected): 0.783 eV per atom
Space group: Pmm2, No. 25
Total magnetization: 0.00 Bohr magnetons per cell
ΔE to the lowest computed polymorph: 203.6 meV/atom
Calculated total energy: -2.59 eV per atom

***

# 6
Pm2SmDy6Sc3 | PBE-GGA | optimized geometry

Cell and atoms, written as POSCAR:
```
Pm2SmDy6Sc3
1.0
3.042 -5.268 0.000
3.042 5.268 0.000
-2.027 0.000 11.347
Pm Sm Dy Sc
2 1 6 3
Direct
0.167 0.833 0.000
0.833 0.167 0.000
0.500 0.500 0.000
0.079 0.413 0.738
0.254 0.254 0.262
0.413 0.079 0.738
0.587 0.921 0.262
0.746 0.746 0.738
0.921 0.587 0.262
0.000 0.000 0.500
0.333 0.667 0.500
0.667 0.333 0.500
```

## Properties
ΔE_f: 0.55 eV per formula unit
DOS at the Fermi energy: 17.47 states/eV per cell
Space group: C2/m, No. 12
Total magnetization: 0.00 Bohr magnetons per cell
Calculated total energy: -5.02 eV per atom

***

# 7
ZrTlO | PBE-GGA | optimized geometry

Cell and atoms, written as POSCAR:
```
ZrTlO
1.0
3.803 0.000 0.000
0.000 3.803 0.000
0.000 0.000 7.500
Zr Tl O
2 2 2
Direct
0.250 0.250 0.149
0.750 0.750 0.851
0.250 0.250 0.604
0.750 0.750 0.396
0.250 0.750 0.000
0.750 0.250 0.000
```

## Properties
DOS at the Fermi energy: 3.02 states/eV per cell
E_form (uncorrected): -1.537 eV per atom
Space group: P4/nmm, No. 129
Total magnetization: 0.00 Bohr magnetons per cell
Calculated total energy: -6.83 eV per atom

***

# 8
Rb4Au3 | PBE-GGA | optimized geometry

Cell and atoms, written as POSCAR:
```
Rb4Au3
1.0
-5.266 5.266 5.266
5.266 -5.266 5.266
5.266 5.266 -5.266
Rb Au
8 6
Direct
0.000 0.354 0.500
0.000 0.854 0.500
0.146 0.146 0.146
0.354 0.500 0.000
0.500 0.000 0.354
0.500 0.000 0.854
0.646 0.646 0.646
0.854 0.500 0.000
0.125 0.750 0.875
0.250 0.625 0.375
0.375 0.250 0.625
0.625 0.375 0.250
0.750 0.875 0.125
0.875 0.125 0.750
```

## Properties
ΔE_f: -1.77 eV per formula unit
DOS at the Fermi energy: 9.43 states/eV per cell
Space group: I-43d, No. 220
Total magnetization: 0.00 Bohr magnetons per cell
Calculated total energy: -2.21 eV per atom

***

# 9
BeNiIr2 | PBE-GGA | optimized geometry

Cell and atoms, written as POSCAR:
```
BeNiIr2
1.0
2.755 0.000 0.000
0.000 4.545 0.000
0.000 0.000 8.068
Be Ni Ir
2 2 4
Direct
0.000 0.000 0.000
0.500 0.500 0.000
0.000 0.000 0.500
0.500 0.500 0.500
0.000 0.500 0.230
0.000 0.500 0.770
0.500 0.000 0.230
0.500 0.000 0.770
```

## Properties
ΔE_f: 0.00 eV per formula unit
DOS at the Fermi energy: 11.67 states/eV per cell
Space group: Cmmm, No. 65
Total magnetization: 1.84 Bohr magnetons per cell
Calculated total energy: -6.81 eV per atom

***

# 10
BaCaY2Os | PBE-GGA | optimized geometry

Cell and atoms, written as POSCAR:
```
BaCaY2Os
1.0
5.497 0.000 0.000
0.000 5.497 0.000
0.000 0.000 5.862
Ba Ca Y Os
1 1 2 1
Direct
0.000 0.000 0.000
0.500 0.500 0.000
0.000 0.500 0.500
0.500 0.000 0.500
0.500 0.500 0.500
```

## Properties
ΔE_f: 0.07 eV per formula unit
DOS at the Fermi energy: 2.84 states/eV per cell
Space group: P4/mmm, No. 123
Total magnetization: 0.00 Bohr magnetons per cell
Calculated total energy: -5.60 eV per atom

***

# 11
KAcMgI6 | PBE-GGA | optimized geometry

Cell and atoms, written as POSCAR:
```
KAcMgI6
1.0
8.082 0.000 0.000
-4.041 6.999 0.000
0.000 0.000 15.394
K Ac Mg I
2 2 2 12
Direct
0.000 0.000 0.000
0.000 0.000 0.500
0.333 0.667 0.250
0.667 0.333 0.750
0.333 0.667 0.750
0.667 0.333 0.250
0.029 0.379 0.635
0.029 0.650 0.865
0.350 0.379 0.865
0.350 0.971 0.635
0.379 0.029 0.135
0.379 0.350 0.365
0.621 0.650 0.635
0.621 0.971 0.865
0.650 0.029 0.365
0.650 0.621 0.135
0.971 0.350 0.135
0.971 0.621 0.365
```

## Properties
DOS at the Fermi energy: 0.00 states/eV per cell
E_form (uncorrected): -1.345 eV per atom
Space group: P-31c, No. 163
Total magnetization: 0.00 Bohr magnetons per cell
Calculated total energy: -3.13 eV per atom

***

# 12
Pr3Sm2Y5 | PBE-GGA | optimized geometry

Cell and atoms, written as POSCAR:
```
Pr3Sm2Y5
1.0
5.408 -8.305 0.000
5.408 8.305 0.000
-5.405 0.000 7.599
Pr Sm Y
6 4 10
Direct
0.024 0.273 0.048
0.229 0.771 0.750
0.273 0.024 0.548
0.727 0.976 0.452
0.771 0.229 0.250
0.976 0.727 0.952
0.233 0.475 0.458
0.475 0.233 0.958
0.525 0.767 0.042
0.767 0.525 0.542
0.026 0.974 0.750
0.134 0.369 0.755
0.274 0.726 0.250
0.369 0.134 0.255
0.472 0.528 0.250
0.528 0.472 0.750
0.631 0.866 0.745
0.726 0.274 0.750
0.866 0.631 0.245
0.974 0.026 0.250
```

## Properties
ΔE_f: 1.72 eV per formula unit
DOS at the Fermi energy: 33.93 states/eV per cell
Space group: C2/c, No. 15
Total magnetization: 0.00 Bohr magnetons per cell
ΔE to the lowest computed polymorph: 0.0 meV/atom
Calculated total energy: -5.44 eV per atom

***

# 13
NaMgTiBe2 | PBE-GGA | optimized geometry

Cell and atoms, written as POSCAR:
```
NaMgTiBe2
1.0
4.619 0.000 0.000
0.000 4.619 0.000
0.000 0.000 5.002
Na Mg Ti Be
1 1 1 2
Direct
0.000 0.000 0.000
0.500 0.500 0.500
0.500 0.500 0.000
0.000 0.500 0.500
0.500 0.000 0.500
```

## Properties
ΔE_f: 6.36 eV per formula unit
DOS at the Fermi energy: 5.70 states/eV per cell
Space group: P4/mmm, No. 123
Total magnetization: 1.85 Bohr magnetons per cell
Calculated total energy: -2.38 eV per atom

***

# 14
Li2AcTmS4 | PBE-GGA | optimized geometry

Cell and atoms, written as POSCAR:
```
Li2AcTmS4
1.0
6.675 0.000 0.000
0.000 4.062 0.000
-2.599 0.000 6.630
Li Ac Tm S
2 1 1 4
Direct
0.000 0.000 0.000
0.000 0.500 0.500
0.500 0.000 0.500
0.500 0.500 0.000
0.242 0.500 0.221
0.249 0.000 0.766
0.751 0.000 0.234
0.758 0.500 0.779
```

## Properties
DOS at the Fermi energy: 0.00 states/eV per cell
E_form (uncorrected): -1.782 eV per atom
Space group: P2/m, No. 10
Total magnetization: 0.00 Bohr magnetons per cell
Calculated total energy: -5.40 eV per atom